#1
! AgPdBrF2 | Alexandria | PBE | relaxed; values from VASP
! V	19.5	Å³ per atom
&SYSTEM
  ibrav = 0, nat = 5, ntyp = 4
/
ATOMIC_SPECIES
Ag 107.87 Ag.upf
F 19.00 F.upf
Pd 106.42 Pd.upf
Br 79.90 Br.upf
ATOMIC_POSITIONS angstrom
Ag 0.000 0.000 3.048
F 0.000 2.002 0.000
F 2.002 0.000 0.000
Pd 0.000 0.000 0.000
Br 2.002 2.002 3.048
CELL_PARAMETERS angstrom
4.004 0.000 0.000
0.000 4.004 0.000
0.000 0.000 6.096


#2
! AgPdBrF2 | Alexandria | PBE | relaxed; values from VASP
! V	18.1	Å³ per atom
&SYSTEM
  ibrav = 0, nat = 10, ntyp = 4
/
ATOMIC_SPECIES
F 19.00 F.upf
Br 79.90 Br.upf
Pd 106.42 Pd.upf
Ag 107.87 Ag.upf
ATOMIC_POSITIONS angstrom
F 0.000 2.037 3.745
F 1.955 4.333 0.118
F 0.000 2.037 7.135
F 1.955 4.333 3.508
Br 1.955 0.039 1.813
Br 0.000 6.331 5.440
Pd 0.000 0.000 3.627
Pd 0.000 0.000 0.000
Ag 0.000 3.512 1.813
Ag 1.955 2.857 5.440
CELL_PARAMETERS angstrom
3.909 0.000 0.000
-1.955 6.369 0.000
0.000 0.000 7.253


Energetically preferred structure: #2 | next structure: +9.3 kJ/mol of atoms


#1
! AgSe2BrF | Alexandria | PBE | relaxed; values from VASP
! V	28.2	Å³ per atom
&SYSTEM
  ibrav = 0, nat = 5, ntyp = 4
/
ATOMIC_SPECIES
Br 79.90 Br.upf
Se 78.96 Se.upf
F 19.00 F.upf
Ag 107.87 Ag.upf
ATOMIC_POSITIONS angstrom
Br 2.076 -1.435 -0.570
Se -0.570 -1.609 1.974
Se -1.449 -1.458 -1.608
F 0.056 -4.502 -0.204
Ag 0.000 0.000 0.000
CELL_PARAMETERS angstrom
-1.140 -3.219 3.947
-2.898 -2.916 -3.215
4.151 -2.869 -1.140


#2
! AgSe2BrF | Alexandria | PBE | relaxed; values from VASP
! V	23.3	Å³ per atom
&SYSTEM
  ibrav = 0, nat = 5, ntyp = 4
/
ATOMIC_SPECIES
F 19.00 F.upf
Ag 107.87 Ag.upf
Se 78.96 Se.upf
Br 79.90 Br.upf
ATOMIC_POSITIONS angstrom
F 0.000 2.167 0.000
Ag 2.594 2.167 2.594
Se 0.000 0.000 2.594
Se 2.594 0.000 0.000
Br 0.000 0.000 0.000
CELL_PARAMETERS angstrom
5.188 0.000 0.000
0.000 4.333 0.000
0.000 0.000 5.188


Energetically preferred structure: #2 | next structure: +13.4 kJ/mol of atoms


#1
! AgSeBr2F | Alexandria | PBE | relaxed; values from VASP
! V	25.4	Å³ per atom
&SYSTEM
  ibrav = 0, nat = 5, ntyp = 4
/
ATOMIC_SPECIES
Br 79.90 Br.upf
Ag 107.87 Ag.upf
Se 78.96 Se.upf
F 19.00 F.upf
ATOMIC_POSITIONS angstrom
Br 2.864 0.000 0.000
Br 0.000 2.864 0.000
Ag 2.864 2.864 1.938
Se 0.000 0.000 1.938
F 0.000 0.000 0.000
CELL_PARAMETERS angstrom
5.729 0.000 0.000
0.000 5.729 0.000
0.000 0.000 3.875


#2
! AgSeBr2F | Alexandria | PBE | relaxed; values from VASP
! V	28.8	Å³ per atom
&SYSTEM
  ibrav = 0, nat = 5, ntyp = 4
/
ATOMIC_SPECIES
Se 78.96 Se.upf
Br 79.90 Br.upf
Ag 107.87 Ag.upf
F 19.00 F.upf
ATOMIC_POSITIONS angstrom
Se 0.000 0.000 2.645
Br 2.609 0.000 0.000
Br 0.000 2.609 0.000
Ag 0.000 0.000 0.000
F 2.609 2.609 2.645
CELL_PARAMETERS angstrom
5.217 0.000 0.000
0.000 5.217 0.000
0.000 0.000 5.289


Energetically preferred structure: #1 | next structure: +18.7 kJ/mol of atoms


#1
! ZnAgBrF2 | Alexandria | PBE | relaxed; values from VASP
! V	18.1	Å³ per atom
&SYSTEM
  ibrav = 0, nat = 5, ntyp = 4
/
ATOMIC_SPECIES
Ag 107.87 Ag.upf
Br 79.90 Br.upf
F 19.00 F.upf
Zn 65.41 Zn.upf
ATOMIC_POSITIONS angstrom
Ag 1.991 1.991 2.847
Br 0.000 0.000 2.847
F 1.991 0.000 0.000
F 0.000 1.991 0.000
Zn 0.000 0.000 0.000
CELL_PARAMETERS angstrom
3.982 0.000 0.000
0.000 3.982 0.000
0.000 0.000 5.695


#2
! ZnAgBrF2 | Alexandria | PBE | relaxed; values from VASP
! V	20.0	Å³ per atom
&SYSTEM
  ibrav = 0, nat = 10, ntyp = 4
/
ATOMIC_SPECIES
Zn 65.41 Zn.upf
F 19.00 F.upf
Br 79.90 Br.upf
Ag 107.87 Ag.upf
ATOMIC_POSITIONS angstrom
Zn 3.002 0.321 1.281
Zn 1.001 6.406 6.460
F 1.001 6.545 1.020
F 3.002 0.182 6.720
F 1.001 1.060 4.824
F 3.002 5.666 2.917
Br 1.001 4.036 5.984
Br 3.002 2.691 1.757
Ag 3.002 2.457 4.501
Ag 1.001 4.270 3.240
CELL_PARAMETERS angstrom
4.003 0.000 0.000
0.000 6.637 0.222
0.000 0.090 7.519


Energetically preferred structure: #2 | next structure: +3.6 kJ/mol of atoms


#1
! FeAg2Br | Alexandria | PBE | relaxed; values from VASP
! V	19.0	Å³ per atom
&SYSTEM
  ibrav = 0, nat = 4, ntyp = 3
/
ATOMIC_SPECIES
Br 79.90 Br.upf
Ag 107.87 Ag.upf
Fe 55.84 Fe.upf
ATOMIC_POSITIONS angstrom
Br -3.113 -0.249 0.165
Ag 0.000 0.000 0.000
Ag -1.024 -1.715 1.973
Fe -1.866 1.292 2.152
CELL_PARAMETERS angstrom
-2.272 -3.256 -0.014
0.224 -0.173 3.960
-3.955 2.758 0.344


#2
! FeAg2Br | Alexandria | PBE | relaxed; values from VASP
! V	19.3	Å³ per atom
&SYSTEM
  ibrav = 0, nat = 4, ntyp = 3
/
ATOMIC_SPECIES
Br 79.90 Br.upf
Ag 107.87 Ag.upf
Fe 55.84 Fe.upf
ATOMIC_POSITIONS angstrom
Br 0.000 0.000 4.293
Ag 1.585 1.585 1.598
Ag 0.000 0.000 7.521
Fe 1.585 1.585 5.808
CELL_PARAMETERS angstrom
3.169 0.000 0.000
0.000 3.169 0.000
0.000 0.000 7.688


Energetically preferred structure: #2 | next structure: +23.4 kJ/mol of atoms


#1
! FeAg2Br6 | Alexandria | PBE | relaxed; values from VASP
! V	28.1	Å³ per atom
&SYSTEM
  ibrav = 0, nat = 18, ntyp = 3
/
ATOMIC_SPECIES
Fe 55.84 Fe.upf
Br 79.90 Br.upf
Ag 107.87 Ag.upf
ATOMIC_POSITIONS angstrom
Fe -3.003 -4.345 2.027
Fe -4.011 2.266 -1.087
Br -6.865 -1.155 3.098
Br -7.967 -7.712 3.201
Br -9.296 -5.765 0.715
Br -6.059 3.556 -1.322
Br -8.930 -4.441 3.925
Br -10.527 -1.834 1.152
Br -3.500 -2.323 0.727
Br -7.162 -3.001 -1.219
Br -5.375 -4.960 1.920
Br -8.652 0.804 -0.041
Br -4.730 1.609 1.164
Br -5.097 0.285 -2.046
Ag -6.763 -7.044 0.671
Ag -7.263 2.888 1.208
Ag -6.260 -3.723 4.316
Ag -7.767 -0.433 -2.437
CELL_PARAMETERS angstrom
-4.320 4.439 3.107
-3.702 0.094 -5.281
-6.005 -8.689 4.054


#2
! FeAg2Br6 | Alexandria | PBE | relaxed; values from VASP
! V	37.3	Å³ per atom
&SYSTEM
  ibrav = 0, nat = 18, ntyp = 3
/
ATOMIC_SPECIES
Ag 107.87 Ag.upf
Br 79.90 Br.upf
Fe 55.84 Fe.upf
ATOMIC_POSITIONS angstrom
Ag 4.086 2.418 4.595
Ag 2.828 7.018 8.586
Ag 6.723 7.889 8.869
Ag 7.981 3.289 4.878
Br 2.705 7.457 1.017
Br 3.236 4.013 2.776
Br 4.680 8.319 7.382
Br 1.970 2.757 6.436
Br 6.809 9.490 4.327
Br 6.129 1.988 6.082
Br 8.104 2.850 12.447
Br 7.573 6.294 10.688
Br 6.591 5.724 4.532
Br 4.218 4.583 8.932
Br 4.000 0.817 9.137
Br 8.839 7.550 7.028
Fe 8.030 7.546 4.831
Fe 2.779 2.761 8.633
CELL_PARAMETERS angstrom
7.187 0.000 2.384
3.294 9.439 1.068
0.328 0.868 10.012


Energetically preferred structure: #2 | next structure: +3.3 kJ/mol of atoms